Record 1
First-principles (PBE-GGA) data for crystalline InFeIrRu at its relaxed geometry, as listed in Alexandria.

Output
The calculation puts the mass density at 12.56 g cm⁻³. Its crystal system is cubic. The formation energy is 0.28 eV/f.u.

```
data_InFeIrRu
_symmetry_space_group_name_H-M 'F -4 3 m'
_symmetry_Int_Tables_number 216
_symmetry_space_group_name_Hall 'F -4 2 3'
_cell_length_a 6.261
_cell_length_b 6.261
_cell_length_c 6.261
_cell_angle_alpha 90.00
_cell_angle_beta 90.00
_cell_angle_gamma 90.00
loop_
_atom_site_label
_atom_site_type_symbol
_atom_site_fract_x
_atom_site_fract_y
_atom_site_fract_z
_atom_site_occupancy
In1 In 0.000 0.000 0.000 1
Fe1 Fe 0.000 0.000 0.500 1
Ir1 Ir 0.250 0.250 0.750 1
Ru1 Ru 0.250 0.250 0.250 1
```

Record 2
First-principles (PBE-GGA) data for crystalline ScInFe2Ir at its relaxed geometry, as listed in Alexandria.

Output
The calculation puts the mass density at 6.96 g cm⁻³. Its crystal system is tetragonal. The formation energy is 7.85 eV/f.u.

```
data_ScInFe2Ir
_symmetry_space_group_name_H-M 'P 4/m m m'
_symmetry_Int_Tables_number 123
_symmetry_space_group_name_Hall '-P 4 2'
_cell_length_a 4.625
_cell_length_b 4.625
_cell_length_c 5.174
_cell_angle_alpha 90.00
_cell_angle_beta 90.00
_cell_angle_gamma 90.00
loop_
_atom_site_label
_atom_site_type_symbol
_atom_site_fract_x
_atom_site_fract_y
_atom_site_fract_z
_atom_site_occupancy
Sc1 Sc 0.000 0.000 0.000 1
In1 In 0.000 0.000 0.500 1
Fe1 Fe 0.000 0.500 0.500 1
Ir1 Ir 0.500 0.500 0.000 1
```

Record 3
First-principles (PBE-GGA) data for crystalline VInFeIr2 at its relaxed geometry, as listed in Alexandria.

Output
The calculation puts the mass density at 9.43 g cm⁻³. Its crystal system is tetragonal. The formation energy is 10.12 eV/f.u.

```
data_VInFeIr2
_symmetry_space_group_name_H-M 'P 4/m m m'
_symmetry_Int_Tables_number 123
_symmetry_space_group_name_Hall '-P 4 2'
_cell_length_a 4.814
_cell_length_b 4.814
_cell_length_c 4.607
_cell_angle_alpha 90.00
_cell_angle_beta 90.00
_cell_angle_gamma 90.00
loop_
_atom_site_label
_atom_site_type_symbol
_atom_site_fract_x
_atom_site_fract_y
_atom_site_fract_z
_atom_site_occupancy
V1 V 0.000 0.000 0.000 1
In1 In 0.500 0.500 0.500 1
Fe1 Fe 0.500 0.500 0.000 1
Ir1 Ir 0.000 0.500 0.500 1
```